# 1
Below is NbFeAsPd after structural relaxation, with properties calculated at the GGA-PBE level.

Structure (extended XYZ):
```
4
Lattice="-3.3554 -1.9999 2.0535 -3.0513 2.4024 2.0960 -4.0850 0.2980 -1.6427" Properties=species:S:1:pos:R:3 pbc="T T T"
Nb -2.6229 0.1751 0.6267
Fe -7.8688 0.5254 1.8800
As 0.0000 0.0000 0.0000
Pd -5.2459 0.3503 1.2534
```

Output
Space-group type: F-43m, No. 216
E_tot (eV/cell): -28.6

# 2
Below is CuAg4 after structural relaxation, with properties calculated at the GGA-PBE level.

Structure (extended XYZ):
```
10
Lattice="7.3206 -2.0359 0.0000 7.3206 2.0359 0.0000 -1.1239 0.0000 5.6784" Properties=species:S:1:pos:R:3 pbc="T T T"
Ag 9.3409 0.0000 4.7879
Ag 1.4418 0.0000 0.3200
Ag 6.4411 0.0000 4.2452
Ag 12.5747 0.0000 2.5707
Ag 12.0755 0.0000 5.3584
Ag 0.9426 0.0000 3.1078
Ag 7.0762 0.0000 1.4333
Ag 4.1764 0.0000 0.8906
Cu 3.6362 0.0000 3.6559
Cu 9.8811 0.0000 2.0225
```

Output
Space-group type: C2/m, No. 12
ΔE_f (eV/atom): 0.055
E_tot (eV/cell): -29.5

# 3
Below is Nb2SnPt after structural relaxation, with properties calculated at the GGA-PBE level.

Structure (extended XYZ):
```
4
Lattice="0.0000 3.3151 3.3151 3.3151 0.0000 3.3151 3.3151 3.3151 0.0000" Properties=species:S:1:pos:R:3 pbc="T T T"
Nb 4.9727 4.9727 4.9727
Nb 0.0000 0.0000 0.0000
Pt 1.6576 1.6576 1.6576
Sn 3.3152 3.3152 3.3152
```

Output
Space-group type: F-43m, No. 216
E_tot (eV/cell): -30.5

# 4
Below is Nd2Si2O7 after structural relaxation, with properties calculated at the GGA-PBE level.

Structure (extended XYZ):
```
22
Lattice="4.7071 0.0191 0.0000 -0.5614 5.7038 0.0000 0.0000 0.0000 11.2995" Properties=species:S:1:pos:R:3 pbc="T T T"
Nd 4.0827 0.5706 3.9861
Nd 3.8020 3.4225 1.6636
Nd 0.0630 5.1522 7.3134
Nd 0.3437 2.3004 9.6359
Si 1.6235 0.8020 1.2557
Si 2.5222 4.9208 10.0438
Si 1.3428 3.6540 4.3941
Si 2.8029 2.0689 6.9054
O 0.3372 2.6421 3.6133
O 0.5249 4.9359 5.0260
O 2.3536 0.0095 0.0000
O 3.6208 0.7870 6.2735
O 0.0565 5.4940 2.0365
O 0.8056 2.0840 0.6238
O 4.0892 0.2289 9.2630
O 1.6489 1.4817 7.8910
O 3.3401 3.6388 10.6757
O 2.4968 4.2412 3.4085
O 1.3682 4.3336 9.0582
O 2.0729 2.8614 5.6498
O 2.7775 1.3893 2.2413
O 3.8085 3.0808 7.6862
```

Output
Space-group type: P2_1/c, No. 14
E_tot (eV/cell): -179.2

- Which formula does entry 4 have?
  Nd2Si2O7